Material: K2Zn3
Method: DFT, PBE-GGA
State: relaxed

## Properties
ΔH_f (0 K)   -14 kJ/mol of formula units
E_tot   -6.16 eV/cell
D(E_F)   0.195 states/eV/atom
Size of the total moment   0.00 μB/f.u.
E above lowest polymorph   0.0 meV per atom

Unit cell a=4.4246 b=4.4246 c=10.0734 alpha=90.00 beta=90.00 gamma=120.00
Sites, in units of the cell vectors:
Zn  0.3333  0.6667  0.0359
Zn  0.6667  0.3333  0.9641
Zn  0.0000  0.0000  0.0000
K  0.3333  0.6667  0.7013
K  0.6667  0.3333  0.2987